(1)
## Hg2TeSe (GGA-PBE)

Data for Hg2TeSe after structural relaxation.

Properties
symmetry: No. 10
electronic total energy: -1.72 eV/atom
volume: 29.38 A^3/atom
E_form (uncorrected): 0.09 eV/atom

a b c (Å): 2.989 6.806 5.778
angles (deg): 90.00 91.69 90.00
Fractional positions:
Hg1 0.003 0.000 0.249
Hg2 0.997 0.000 0.751
Te1 0.500 0.500 0.500
Se1 0.500 0.500 0.000

=====

(2)
## HgTeSe2 (GGA-PBE)

Data for HgTeSe2 after structural relaxation.

Properties
symmetry: No. 35
electronic total energy: -2.36 eV/atom
volume: 28.61 A^3/atom
E_form (uncorrected): 0.24 eV/atom

a b c (Å): 3.643 3.643 10.629
angles (deg): 90.00 90.00 125.79
Fractional positions:
Hg1 0.000 0.000 0.000
Te1 0.500 0.500 0.695
Se1 0.000 0.000 0.437
Se2 0.500 0.500 0.270

=====

(3)
## HgTe4Se (GGA-PBE)

Data for HgTe4Se after structural relaxation.

Properties
symmetry: No. 216
electronic total energy: -2.26 eV/atom
volume: 30.15 A^3/atom
E_form (uncorrected): 0.46 eV/atom

a b c (Å): 6.348 6.348 6.348
angles (deg): 60.00 60.00 60.00
Fractional positions:
Hg1 0.000 0.000 0.000
Te1 0.380 0.380 0.380
Te2 0.380 0.380 0.861
Te3 0.380 0.861 0.380
Te4 0.861 0.380 0.380
Se1 0.750 0.750 0.750

=====

(4)
## Hg4Te3Se (GGA-PBE)

Data for Hg4Te3Se after structural relaxation.

Properties
symmetry: No. 31
electronic total energy: -1.93 eV/atom
volume: 35.21 A^3/atom
E_form (uncorrected): -0.17 eV/atom

a b c (Å): 9.255 8.013 7.597
angles (deg): 90.00 90.00 90.00
Fractional positions:
Hg1 0.000 0.151 0.000
Hg2 0.000 0.828 0.518
Hg3 0.242 0.670 0.997
Hg4 0.258 0.330 0.497
Hg5 0.500 0.172 0.018
Hg6 0.500 0.849 0.500
Hg7 0.742 0.330 0.497
Hg8 0.758 0.670 0.997
Te1 0.000 0.162 0.378
Te2 0.249 0.331 0.876
Te3 0.251 0.669 0.376
Te4 0.500 0.838 0.878
Te5 0.749 0.669 0.376
Te6 0.751 0.331 0.876
Se1 0.000 0.830 0.878
Se2 0.500 0.170 0.378

=====

(5)
## Hg2TeSe (GGA-PBE)

Data for Hg2TeSe after structural relaxation.

Properties
symmetry: No. 166
electronic total energy: -1.84 eV/atom
volume: 26.62 A^3/atom
E_form (uncorrected): -0.03 eV/atom

a b c (Å): 7.377 7.377 7.377
angles (deg): 33.09 33.09 33.09
Fractional positions:
Hg1 0.245 0.245 0.245
Hg2 0.755 0.755 0.755
Te1 0.000 0.000 0.000
Se1 0.500 0.500 0.500

=====

(6)
## HgTe3Se (GGA-PBE)

Data for HgTe3Se after structural relaxation.

Properties
symmetry: No. 221
electronic total energy: -2.18 eV/atom
volume: 33.61 A^3/atom
E_form (uncorrected): 0.47 eV/atom

a b c (Å): 5.518 5.518 5.518
angles (deg): 90.00 90.00 90.00
Fractional positions:
Hg1 0.000 0.000 0.000
Te1 0.000 0.500 0.500
Te2 0.500 0.000 0.500
Te3 0.500 0.500 0.000
Se1 0.500 0.500 0.500

=====

(7)
## Hg3TeSe2 (GGA-PBE)

Data for Hg3TeSe2 after structural relaxation.

Properties
symmetry: No. 9
electronic total energy: -2.03 eV/atom
volume: 32.64 A^3/atom
E_form (uncorrected): -0.19 eV/atom

a b c (Å): 7.835 7.835 7.816
angles (deg): 99.48 99.48 120.14
Fractional positions:
Hg1 0.083 0.917 0.500
Hg2 0.256 0.771 0.002
Hg3 0.426 0.610 0.518
Hg4 0.610 0.426 0.018
Hg5 0.771 0.256 0.502
Hg6 0.917 0.083 0.000
Te1 0.302 0.471 0.131
Te2 0.471 0.302 0.631
Se1 0.130 0.638 0.632
Se2 0.638 0.130 0.132
Se3 0.803 0.968 0.630
Se4 0.968 0.803 0.130

=====

(8)
## HgTeSe2 (GGA-PBE)

Data for HgTeSe2 after structural relaxation.

Properties
symmetry: No. 12
electronic total energy: -2.69 eV/atom
volume: 29.35 A^3/atom
E_form (uncorrected): -0.09 eV/atom

a b c (Å): 4.549 4.549 7.474
angles (deg): 105.34 105.34 52.59
Fractional positions:
Hg1 0.000 0.000 0.000
Te1 0.500 0.500 0.500
Se1 0.167 0.167 0.758
Se2 0.833 0.833 0.242